## PmBeTl (PBE)

Data for a geometry-optimized PmBeTl structure.

Total magnetic moment: 0.000 μB per formula unit
V: 336.2 Å³ per cell
Energy above the most stable polymorph in this dataset: 0.335 eV/atom
Raw total energy: -3.043 eV/atom

Lattice parameters (Å, degrees): 6.953 6.953 6.953 90.00 90.00 90.00
Fractional coordinates of all 12 atoms:
1 Pm 0.000 0.000 0.000
2 Pm 0.000 0.500 0.500
3 Pm 0.500 0.000 0.500
4 Pm 0.500 0.500 0.000
5 Be 0.250 0.250 0.750
6 Be 0.250 0.750 0.250
7 Be 0.750 0.250 0.250
8 Be 0.750 0.750 0.750
9 Tl 0.250 0.250 0.250
10 Tl 0.250 0.750 0.750
11 Tl 0.750 0.250 0.750
12 Tl 0.750 0.750 0.250

---

## SrBeHg (PBE)

Data for a geometry-optimized SrBeHg structure.

V: 348.5 Å³ per cell
Energy above the most stable polymorph in this dataset: 0.111 eV/atom
Raw total energy: -1.555 eV/atom

Lattice parameters (Å, degrees): 7.037 7.037 7.037 90.00 90.00 90.00
Fractional coordinates of all 12 atoms:
1 Sr 0.000 0.000 0.000
2 Sr 0.000 0.500 0.500
3 Sr 0.500 0.000 0.500
4 Sr 0.500 0.500 0.000
5 Be 0.000 0.000 0.500
6 Be 0.000 0.500 0.000
7 Be 0.500 0.000 0.000
8 Be 0.500 0.500 0.500
9 Hg 0.250 0.250 0.750
10 Hg 0.250 0.750 0.250
11 Hg 0.750 0.250 0.250
12 Hg 0.750 0.750 0.750

---

## PmAu2 (PBE)

Data for a geometry-optimized PmAu2 structure.

Total magnetic moment: 0.001 μB per formula unit
V: 267.5 Å³ per cell
Energy above the most stable polymorph in this dataset: 0.000 eV/atom
Raw total energy: -4.562 eV/atom
ΔH_f (0 K): -0.803 eV/atom

Lattice parameters (Å, degrees): 5.395 5.395 9.189 90.00 90.00 90.00
Fractional coordinates of all 12 atoms:
1 Pm 0.000 0.000 0.000
2 Pm 0.000 0.500 0.500
3 Pm 0.500 0.000 0.500
4 Pm 0.500 0.500 0.000
5 Au 0.000 0.000 0.334
6 Au 0.000 0.000 0.666
7 Au 0.000 0.500 0.166
8 Au 0.000 0.500 0.834
9 Au 0.500 0.000 0.166
10 Au 0.500 0.000 0.834
11 Au 0.500 0.500 0.334
12 Au 0.500 0.500 0.666

---

## Nd3MgIn3AgAu (PBE)

Data for a geometry-optimized Nd3MgIn3AgAu structure.

Total magnetic moment: 0.007 μB per formula unit
V: 230.3 Å³ per cell
Raw total energy: -3.826 eV/atom

Lattice parameters (Å, degrees): 7.892 7.892 4.269 90.00 90.00 120.00
Fractional coordinates of all 9 atoms:
1 Nd 0.081 0.732 0.000
2 Nd 0.268 0.348 0.000
3 Nd 0.652 0.919 0.000
4 Mg 0.000 0.000 0.500
5 In 0.412 0.087 0.500
6 In 0.676 0.588 0.500
7 In 0.913 0.324 0.500
8 Ag 0.667 0.333 0.000
9 Au 0.333 0.667 0.500